Entry 1:
! BaReS2Cl | the Alexandria database | PBE | relaxed; values from VASP
! Space group   P4/mmm
! Energy   -5.71 eV per atom
! Polymorph energy (0 for the lowest one)   0 meV per atom
! Uncorrected formation energy   -4.060 eV/f.u.
&SYSTEM
  ibrav = 0, nat = 5, ntyp = 4
/
ATOMIC_SPECIES
Re 186.21 Re.upf
S 32.06 S.upf
Ba 137.33 Ba.upf
Cl 35.45 Cl.upf
CELL_PARAMETERS angstrom
4.710 0.000 0.000
0.000 4.710 0.000
0.000 0.000 5.142
ATOMIC_POSITIONS crystal
Re 0.000 0.000 0.000
S 0.000 0.500 0.000
S 0.500 0.000 0.000
Ba 0.500 0.500 0.500
Cl 0.000 0.000 0.500


Entry 2:
! Tm6AgPb3 | the Alexandria database | PBE | relaxed; values from VASP
! Space group   Cmc2_1
! Energy   -4.28 eV per atom
! Energy of formation   -0.203 eV per atom
&SYSTEM
  ibrav = 0, nat = 20, ntyp = 3
/
ATOMIC_SPECIES
Tm 168.93 Tm.upf
Ag 107.87 Ag.upf
Pb 207.20 Pb.upf
CELL_PARAMETERS angstrom
-0.032 2.997 -6.024
-2.330 -8.409 -4.172
-7.825 5.073 2.566
ATOMIC_POSITIONS crystal
Tm 0.075 0.777 0.651
Tm 0.575 0.651 0.777
Tm 0.245 0.450 0.904
Tm 0.745 0.904 0.450
Tm 0.293 0.978 0.022
Tm 0.734 0.268 0.732
Tm 0.234 0.732 0.268
Tm 0.793 0.022 0.978
Tm 0.245 0.096 0.550
Tm 0.745 0.550 0.096
Tm 0.075 0.349 0.223
Tm 0.575 0.223 0.349
Ag 0.090 0.150 0.850
Ag 0.590 0.850 0.150
Pb 0.491 0.941 0.718
Pb 0.991 0.718 0.941
Pb 0.248 0.438 0.562
Pb 0.748 0.562 0.438
Pb 0.991 0.059 0.282
Pb 0.491 0.282 0.059


Entry 3:
! Mn2SiNi | the Alexandria database | PBE | relaxed; values from VASP
! Space group   Cmmm
! Energy   -7.60 eV per atom
! Uncorrected formation energy   -0.855 eV/f.u.
&SYSTEM
  ibrav = 0, nat = 4, ntyp = 3
/
ATOMIC_SPECIES
Mn 54.94 Mn.upf
Ni 58.69 Ni.upf
Si 28.09 Si.upf
CELL_PARAMETERS angstrom
-1.290 5.000 2.356
-1.959 -1.333 -3.618
-2.330 0.219 1.182
ATOMIC_POSITIONS crystal
Mn 0.000 0.000 0.000
Mn 0.500 0.000 0.500
Ni 0.000 0.500 0.500
Si 0.500 0.500 0.000


Question: Look up the energy of the third one.
Answer: -7.60 eV per atom